A relaxed structure of Ca2LaS, computed with PBE-GGA.

abc: 7.428 7.428 7.428
angles: 98.81 98.81 133.93
Fractional positions:
Ca (0.012, 0.625, 0.887)
Ca (0.375, 0.262, 0.387)
Ca (0.738, 0.125, 0.113)
Ca (0.875, 0.988, 0.613)
La (0.250, 0.750, 0.500)
La (0.500, 0.500, 0.000)
S (0.000, 0.000, 0.000)
S (0.750, 0.250, 0.500)

## Properties
Formation energy (no corrections), eV per atom: -0.668
M_tot, μB per cell: 0.0
Calculated volume, Å³ per atom: 34.0
SG: I-42d (122)
E_tot, eV/cell: -31.456

***

A relaxed structure of CaLaS2, computed with PBE-GGA.

abc: 4.990 4.990 4.990
angles: 60.00 60.00 60.00
Fractional positions:
Ca (0.000, 0.000, 0.000)
La (0.500, 0.500, 0.500)
S (0.250, 0.250, 0.250)
S (0.750, 0.750, 0.750)

## Properties
Formation energy (no corrections), eV per atom: -1.747
M_tot, μB per cell: 0.0
Calculated volume, Å³ per atom: 22.0
SG: Fm-3m (225)
Relative energy among the computed polymorphs, meV/atom: 307
E_tot, eV/cell: -22.170

***

A relaxed structure of Ca3LaS4, computed with PBE-GGA.

abc: 7.054 7.054 4.066
angles: 90.00 90.00 109.44
Fractional positions:
Ca (0.000, 0.000, 0.000)
Ca (0.000, 0.500, 0.500)
Ca (0.500, 0.000, 0.500)
La (0.500, 0.500, 0.000)
S (0.244, 0.244, 0.500)
S (0.248, 0.752, 0.000)
S (0.752, 0.248, 0.000)
S (0.756, 0.756, 0.500)

## Properties
Formation energy (no corrections), eV per atom: -2.115
M_tot, μB per cell: 0.0
Calculated volume, Å³ per atom: 23.8
SG: Cmmm (65)
E_tot, eV/cell: -44.364

***

Question: Look up the formation energy (no corrections) of the second one.
Answer: -1.747 eV per atom